The following is a DFT calculation (GGA-PBE) of crystalline SrTmPd2 at its relaxed geometry.

The structure in POSCAR format:
```
SrTmPd2
1.0
3.541 0.000 0.000
0.000 3.541 0.000
0.000 0.000 7.426
Pd Sr Tm
2 1 1
Direct
0.000 0.000 0.206 Pd
0.000 0.000 0.794 Pd
0.500 0.500 0.500 Sr
0.500 0.500 0.000 Tm
```

The formation energy from the elements comes out at -0.78 eV/atom. The excess energy over the best structure of this formula in the dataset comes out at 0.0 meV/atom. For the mass density, the calculation gives 8369 kg/m3. For the total energy, the calculation gives -4.919 eV per atom. The size of the total moment is 0.000 μB/atom.

---

The following is a DFT calculation (GGA-PBE) of crystalline K4Ce3YO8 at its relaxed geometry.

The structure in POSCAR format:
```
K4Ce3YO8
1.0
-0.405 5.979 -4.020
-7.336 0.605 1.638
4.731 -0.380 5.435
K O Y Ce
4 8 1 3
Direct
0.500 0.000 0.500 K
0.000 0.000 0.500 K
0.500 0.000 0.000 K
0.000 0.000 0.000 K
0.737 0.688 0.962 O
0.731 0.692 0.461 O
0.774 0.312 0.038 O
0.226 0.688 0.962 O
0.774 0.312 0.549 O
0.226 0.688 0.451 O
0.263 0.312 0.038 O
0.269 0.308 0.539 O
0.000 0.500 0.000 Y
0.500 0.500 0.500 Ce
0.500 0.500 0.000 Ce
0.000 0.500 0.500 Ce
```

The calculation puts the raw formation energy at -41.91 eV/f.u. For the mass density, the calculation gives 4650 kg/m3. For the total energy, the calculation gives -6.890 eV per atom. The size of the total moment is 0.189 μB/atom.

---

The following is a DFT calculation (GGA-PBE) of crystalline SnTeP at its relaxed geometry.

The structure in POSCAR format:
```
SnTeP
1.0
-2.462 -3.024 -5.538
-5.914 -3.290 0.283
-6.084 3.668 -3.440
P Sn Te
3 3 3
Direct
0.128 0.780 0.671 P
0.420 0.128 0.671 P
0.780 0.420 0.671 P
0.725 0.725 0.825 Sn
0.376 0.376 0.873 Sn
0.036 0.036 0.893 Sn
0.335 0.896 0.316 Te
0.896 0.453 0.316 Te
0.453 0.335 0.316 Te
```

The calculation puts the raw formation energy at 0.34 eV/f.u. The excess energy over the best structure of this formula in the dataset comes out at 10.6 meV/atom. For the mass density, the calculation gives 5071 kg/m3. For the total energy, the calculation gives -4.072 eV per atom. The size of the total moment is 0.000 μB/atom.

---

The following is a DFT calculation (GGA-PBE) of crystalline NdB3N3 at its relaxed geometry.

The structure in POSCAR format:
```
NdB3N3
1.0
4.874 0.000 0.000
0.000 4.874 0.000
0.000 0.000 4.874
N B Nd
6 6 2
Direct
0.500 0.000 0.750 N
0.750 0.500 0.000 N
0.000 0.250 0.500 N
0.250 0.500 0.000 N
0.000 0.750 0.500 N
0.500 0.000 0.250 N
0.000 0.500 0.750 B
0.500 0.250 0.000 B
0.500 0.750 0.000 B
0.000 0.500 0.250 B
0.250 0.000 0.500 B
0.750 0.000 0.500 B
0.500 0.500 0.500 Nd
0.000 0.000 0.000 Nd
```

The calculation puts the raw formation energy at 1.78 eV/f.u. For the mass density, the calculation gives 6272 kg/m3. For the total energy, the calculation gives -6.857 eV per atom. The size of the total moment is 0.000 μB/atom.

---

The following is a DFT calculation (GGA-PBE) of crystalline TlAuSe2 at its relaxed geometry.

The structure in POSCAR format:
```
TlAuSe2
1.0
5.035 0.000 0.000
2.518 4.361 0.000
2.518 1.454 4.111
Se Au Tl
2 1 1
Direct
0.250 0.250 0.250 Se
0.000 0.000 0.000 Se
0.500 0.500 0.500 Au
0.750 0.750 0.750 Tl
```

The calculation puts the raw formation energy at 1.27 eV/f.u. For the mass density, the calculation gives 10287 kg/m3. For the total energy, the calculation gives -2.836 eV per atom. The size of the total moment is 0.000 μB/atom.

---

The following is a DFT calculation (GGA-PBE) of crystalline EuAlZn at its relaxed geometry.

The structure in POSCAR format:
```
EuAlZn
1.0
-3.094 1.567 0.016
-1.526 -3.005 -0.818
1.729 -0.485 5.911
Eu Al Zn
1 1 1
Direct
0.948 0.948 0.895 Eu
0.647 0.647 0.294 Al
0.255 0.255 0.511 Zn
```

The formation energy from the elements comes out at -0.15 eV/atom. For the mass density, the calculation gives 5950 kg/m3. For the total energy, the calculation gives -5.245 eV per atom. The size of the total moment is 2.414 μB/atom.